A relaxed structure of Cd2ReP, computed with PBE.

Energy of formation in meV/atom: 287
Density in g/cm3: 9.29
E_tot in eV/atom: -4.64

The structure in extended XYZ format:
```
4
Lattice="-1.3327 5.3117 2.7593 -4.4573 3.8128 -1.7887 1.9628 -5.4262 2.0755" Properties=species:S:1:pos:R:3 pbc="T T T"
Cd -0.2542 0.4005 0.0426
Cd -1.0609 2.1111 2.6481
P -2.5476 4.0148 0.4271
Re -2.8595 1.7341 0.4137
```